No. 1
The following is a DFT calculation (PBE) of a relaxed structure of NaTaAgTeSe2.

Cell and atoms, written as POSCAR:
```
NaTaAgTeSe2
1.0
2.813 6.549 -2.377
-4.802 -3.992 4.178
6.970 -0.133 7.882
Se Ag Ta Na Te
4 2 2 2 2
direct
0.872 0.128 0.462 Se
0.872 0.128 0.038 Se
0.128 0.872 0.962 Se
0.128 0.872 0.538 Se
0.043 0.957 0.750 Ag
0.957 0.043 0.250 Ag
0.500 0.500 0.000 Ta
0.500 0.500 0.500 Ta
0.719 0.281 0.750 Na
0.281 0.719 0.250 Na
0.599 0.401 0.250 Te
0.401 0.599 0.750 Te
```

Values from the calculation:
The total energy is -4.81 eV per atom.

No. 2
The following is a DFT calculation (PBE) of a relaxed structure of NaTaAgTe2Se.

Cell and atoms, written as POSCAR:
```
NaTaAgTe2Se
1.0
1.952 -7.347 0.000
1.952 7.347 0.000
0.000 0.000 10.396
Na Ta Ag Te Se
2 2 2 4 2
direct
0.748 0.252 0.750 Na
0.252 0.748 0.250 Na
0.500 0.500 0.500 Ta
0.500 0.500 0.000 Ta
0.956 0.044 0.250 Ag
0.044 0.956 0.750 Ag
0.860 0.140 0.029 Te
0.860 0.140 0.471 Te
0.140 0.860 0.971 Te
0.140 0.860 0.529 Te
0.426 0.574 0.750 Se
0.574 0.426 0.250 Se
```

Values from the calculation:
The total energy is -4.63 eV per atom.

No. 3
The following is a DFT calculation (PBE) of a relaxed structure of NaTbAg3Se4.

Cell and atoms, written as POSCAR:
```
NaTbAg3Se4
1.0
6.399 0.000 0.000
0.000 6.399 0.000
0.000 0.000 6.399
Ag Se Na Tb
3 4 1 1
direct
0.500 0.500 0.000 Ag
0.000 0.500 0.500 Ag
0.500 0.000 0.500 Ag
0.744 0.256 0.744 Se
0.256 0.744 0.744 Se
0.744 0.744 0.256 Se
0.256 0.256 0.256 Se
0.000 0.000 0.000 Na
0.500 0.500 0.500 Tb
```

Values from the calculation:
The total energy is -3.82 eV per atom. The value obtained for the energy above the most stable polymorph in this dataset is 0.0 meV/atom.

No. 4
The following is a DFT calculation (PBE) of a relaxed structure of NaTbAg3Se4.

Cell and atoms, written as POSCAR:
```
NaTbAg3Se4
1.0
6.363 0.000 0.000
0.000 7.925 0.000
-3.102 0.000 9.832
Na Tb Se Ag
2 2 8 6
direct
0.135 0.750 0.155 Na
0.865 0.250 0.845 Na
0.405 0.750 0.704 Tb
0.595 0.250 0.296 Tb
0.152 0.020 0.730 Se
0.848 0.520 0.270 Se
0.722 0.750 0.948 Se
0.848 0.980 0.270 Se
0.564 0.250 0.564 Se
0.436 0.750 0.436 Se
0.278 0.250 0.052 Se
0.152 0.480 0.730 Se
0.206 0.440 0.470 Ag
0.794 0.940 0.530 Ag
0.794 0.560 0.530 Ag
0.206 0.060 0.470 Ag
0.042 0.250 0.208 Ag
0.958 0.750 0.792 Ag
```

Values from the calculation:
The total energy is -3.78 eV per atom. The value obtained for the energy above the most stable polymorph in this dataset is 36.8 meV/atom.

No. 5
The following is a DFT calculation (PBE) of a relaxed structure of NaTcAgSe3.

Cell and atoms, written as POSCAR:
```
NaTcAgSe3
1.0
13.608 0.000 0.000
0.000 3.551 0.000
0.000 0.000 10.221
Ag Tc Se Na
4 4 12 4
direct
0.167 0.750 0.203 Ag
0.833 0.250 0.797 Ag
0.333 0.250 0.703 Ag
0.667 0.750 0.297 Ag
0.013 0.750 0.824 Tc
0.513 0.750 0.676 Tc
0.487 0.250 0.324 Tc
0.987 0.250 0.176 Tc
0.597 0.250 0.521 Se
0.511 0.750 0.151 Se
0.011 0.750 0.349 Se
0.689 0.750 0.784 Se
0.489 0.250 0.849 Se
0.989 0.250 0.651 Se
0.189 0.750 0.716 Se
0.311 0.250 0.216 Se
0.403 0.750 0.479 Se
0.097 0.250 0.979 Se
0.811 0.250 0.284 Se
0.903 0.750 0.021 Se
0.179 0.250 0.469 Na
0.821 0.750 0.531 Na
0.679 0.250 0.031 Na
0.321 0.750 0.969 Na
```

Values from the calculation:
The total energy is -4.45 eV per atom. The value obtained for the energy above the most stable polymorph in this dataset is 49.0 meV/atom.

No. 6
The following is a DFT calculation (PBE) of a relaxed structure of NaTcAgSe3.

Cell and atoms, written as POSCAR:
```
NaTcAgSe3
1.0
7.107 0.000 0.000
0.000 3.932 0.000
0.000 0.000 17.401
Se Ag Tc Na
12 4 4 4
direct
0.488 0.250 0.566 Se
0.762 0.250 0.315 Se
0.512 0.750 0.434 Se
0.375 0.750 0.952 Se
0.625 0.250 0.048 Se
0.012 0.750 0.066 Se
0.238 0.750 0.685 Se
0.988 0.250 0.934 Se
0.262 0.250 0.185 Se
0.738 0.750 0.815 Se
0.125 0.250 0.452 Se
0.875 0.750 0.548 Se
0.613 0.750 0.671 Ag
0.887 0.250 0.171 Ag
0.387 0.250 0.329 Ag
0.113 0.750 0.829 Ag
0.253 0.750 0.536 Tc
0.247 0.250 0.036 Tc
0.753 0.750 0.964 Tc
0.747 0.250 0.464 Tc
0.440 0.250 0.804 Na
0.560 0.750 0.196 Na
0.060 0.750 0.304 Na
0.940 0.250 0.696 Na
```

Values from the calculation:
The total energy is -4.41 eV per atom. The value obtained for the energy above the most stable polymorph in this dataset is 81.0 meV/atom.

No. 7
The following is a DFT calculation (PBE) of a relaxed structure of NaTcAgSe3.

Cell and atoms, written as POSCAR:
```
NaTcAgSe3
1.0
-6.543 4.411 7.416
1.043 -2.508 2.412
10.076 8.103 4.070
Se Ag Na Tc
12 4 4 4
direct
0.269 0.750 0.151 Se
0.453 0.750 0.889 Se
0.953 0.750 0.611 Se
0.231 0.250 0.651 Se
0.731 0.250 0.849 Se
0.021 0.750 0.860 Se
0.521 0.750 0.640 Se
0.979 0.250 0.140 Se
0.547 0.250 0.111 Se
0.479 0.250 0.360 Se
0.047 0.250 0.389 Se
0.769 0.750 0.349 Se
0.748 0.750 0.702 Ag
0.248 0.750 0.798 Ag
0.252 0.250 0.298 Ag
0.752 0.250 0.202 Ag
0.290 0.750 0.485 Na
0.790 0.750 0.015 Na
0.210 0.250 0.985 Na
0.710 0.250 0.515 Na
0.530 0.250 0.775 Tc
0.470 0.750 0.225 Tc
0.030 0.250 0.725 Tc
0.970 0.750 0.275 Tc
```

Values from the calculation:
The total energy is -4.45 eV per atom. The value obtained for the energy above the most stable polymorph in this dataset is 45.1 meV/atom.

No. 8
The following is a DFT calculation (PBE) of a relaxed structure of NaTcAgSe3.

Cell and atoms, written as POSCAR:
```
NaTcAgSe3
1.0
3.721 0.000 0.000
1.860 6.900 0.000
0.000 0.000 10.166
Se Na Ag Tc
6 2 2 2
direct
0.368 0.264 0.980 Se
0.632 0.736 0.020 Se
0.925 0.149 0.250 Se
0.075 0.851 0.750 Se
0.368 0.264 0.520 Se
0.632 0.736 0.480 Se
0.752 0.496 0.750 Na
0.248 0.504 0.250 Na
0.438 0.124 0.750 Ag
0.562 0.876 0.250 Ag
0.000 0.000 0.000 Tc
0.000 0.000 0.500 Tc
```

Values from the calculation:
The total energy is -4.43 eV per atom. The value obtained for the energy above the most stable polymorph in this dataset is 69.3 meV/atom.